Density functional theory data (PBE) for a relaxed structure of Li2ZrTe3.

Calculated values
**Total magnetic moment**: 0.01 μB per cell
**Energy above the lowest structure with this stoichiometry**: 64 meV/atom
**Density**: 5.25 g/cm3
**Final energy**: -4.4854 eV/atom

The structure in POSCAR format:
```
Li2ZrTe3
1.0
2.038 -6.935 0.000
2.038 6.935 0.000
0.000 0.000 10.908
Li Zr Te
4 2 6
direct
0.019 0.981 0.750 Li
0.259 0.741 0.250 Li
0.741 0.259 0.750 Li
0.981 0.019 0.250 Li
0.500 0.500 0.000 Zr
0.500 0.500 0.500 Zr
0.141 0.859 0.563 Te
0.141 0.859 0.937 Te
0.401 0.599 0.750 Te
0.599 0.401 0.250 Te
0.859 0.141 0.063 Te
0.859 0.141 0.437 Te
```